Computed, not measured: an optimized crystal structure of TlIn2Pt9 at the GGA-PBE level of DFT. Values from VASP.

Properties
Spin magnetization in μB per cell: 0.00
Crystal system: tetragonal

Structure (Quantum ESPRESSO input):
```
&SYSTEM
  ibrav = 0, nat = 12, ntyp = 3
/
ATOMIC_SPECIES
Tl 204.38 Tl.upf
In 114.82 In.upf
Pt 195.08 Pt.upf
ATOMIC_POSITIONS crystal
Tl 0.000 0.000 0.000
In 0.000 0.000 0.335
In 0.000 0.000 0.665
Pt 0.000 0.500 0.171
Pt 0.000 0.500 0.500
Pt 0.000 0.500 0.829
Pt 0.500 0.000 0.171
Pt 0.500 0.000 0.500
Pt 0.500 0.000 0.829
Pt 0.500 0.500 0.000
Pt 0.500 0.500 0.335
Pt 0.500 0.500 0.665
CELL_PARAMETERS angstrom
4.064 0.000 0.000
0.000 4.064 0.000
0.000 0.000 12.206
```

Computed, not measured: an optimized crystal structure of CdHg3Pb at the GGA-PBE level of DFT. Values from VASP.

Properties
Polymorph energy (0 for the lowest one) in eV/atom: 0.186
Spin magnetization in μB per cell: 0.00
Crystal system: cubic

Structure (Quantum ESPRESSO input):
```
&SYSTEM
  ibrav = 0, nat = 5, ntyp = 3
/
ATOMIC_SPECIES
Cd 112.41 Cd.upf
Hg 200.59 Hg.upf
Pb 207.20 Pb.upf
ATOMIC_POSITIONS crystal
Cd 0.000 0.000 0.000
Hg 0.000 0.500 0.500
Hg 0.500 0.000 0.500
Hg 0.500 0.500 0.000
Pb 0.500 0.500 0.500
CELL_PARAMETERS angstrom
6.022 0.000 0.000
0.000 6.022 0.000
0.000 0.000 6.022
```

Respective E_form values: -0.264 0.223 eV/atom.